Record 1
Compound: Sr2MgAs
Source: Alexandria via LeMat-Bulk
Functional: PBE
Structure: relaxed

Structure (POSCAR):
```
Sr2MgAs
1.0
-0.553 3.224 -3.225
-1.884 -1.082 -4.047
-8.468 2.482 0.713
Sr Mg As
2 1 1
direct
0.021 0.021 0.938
0.479 0.479 0.562
0.250 0.250 0.250
0.750 0.750 0.750
```

offset from the most stable computed form = 97 meV per atom
ΔH_f (0 K) = -0.53 eV per atom
raw total energy = -2.932 eV/atom

Record 2
Compound: ScC2Br
Source: Alexandria via LeMat-Bulk
Functional: PBE
Structure: relaxed

Structure (POSCAR):
```
ScC2Br
1.0
-4.039 -1.293 0.103
-2.943 2.386 1.910
-2.931 2.011 -2.316
C Br Sc
2 1 1
direct
0.750 0.750 0.750
0.250 0.250 0.250
0.500 0.500 0.500
0.000 0.000 0.000
```

offset from the most stable computed form = 390 meV per atom
formation energy from raw total energies = 775 kJ/mol of formula units
raw total energy = -4.605 eV/atom